[1]
VASP calculation (PBE) on a relaxed structure of Tl2Se2O7.

Geometry as CIF:
```
data_Tl2Se2O7
_cell_length_a 7.840
_cell_length_b 11.091
_cell_length_c 5.431
_cell_angle_alpha 90.00
_cell_angle_beta 99.34
_cell_angle_gamma 90.00
_space_group_name_H-M_alt 'C 1 2/m 1'
_space_group_IT_number 12
loop_
_space_group_symop_operation_xyz
'x,y,z'
'-x,-y,-z'
'-x,y,-z'
'x,-y,z'
'x+1/2,y+1/2,z'
'-x+1/2,-y+1/2,-z'
'-x+1/2,y+1/2,-z'
'x+1/2,-y+1/2,z'
loop_
_atom_site_label
_atom_site_type_symbol
_atom_site_fract_x
_atom_site_fract_y
_atom_site_fract_z
Tl1 Tl 0.000 0.195 0.000
Se1 Se 0.217 0.500 0.428
O1 O 0.000 0.500 0.500
O2 O 0.157 0.000 0.296
O3 O 0.229 0.374 0.269
```

***

[2]
# Tb2Dy3Ho (PBE, relaxed)
data_Tb2Dy3Ho
_cell_length_a 17.343
_cell_length_b 7.075
_cell_length_c 6.119
_cell_angle_alpha 90.00
_cell_angle_beta 90.07
_cell_angle_gamma 90.00
_space_group_name_H-M_alt 'C 1 2/c 1'
_space_group_IT_number 15
loop_
_space_group_symop_operation_xyz
'x,y,z'
'-x,-y,-z'
'-x,y,-z+1/2'
'x,-y,z+1/2'
'x+1/2,y+1/2,z'
'-x+1/2,-y+1/2,-z'
'-x+1/2,y+1/2,-z+1/2'
'x+1/2,-y+1/2,z+1/2'
loop_
_atom_site_label
_atom_site_type_symbol
_atom_site_fract_x
_atom_site_fract_y
_atom_site_fract_z
Tb1 Tb 0.166 0.125 0.417
Dy1 Dy 0.000 0.125 0.750
Dy2 Dy 0.166 0.375 0.917
Ho1 Ho 0.000 0.375 0.250
# Formation enthalpy at 0 K   0.1 eV per formula unit

***

[3]
# YPaNi2 (PBE, relaxed)
data_YPaNi2
_cell_length_a 3.6901
_cell_length_b 3.6901
_cell_length_c 21.1876
_cell_angle_alpha 90.00
_cell_angle_beta 90.00
_cell_angle_gamma 120.00
_space_group_name_H-M_alt 'R -3 m'
_space_group_IT_number 166
_space_group_name_Hall '-R 3 2"'
loop_
_atom_site_label
_atom_site_type_symbol
_atom_site_fract_x
_atom_site_fract_y
_atom_site_fract_z
Y1 Y 0.0000 0.0000 0.0000
Pa1 Pa 0.0000 0.0000 0.5000
Ni1 Ni 0.0000 0.0000 0.2416
# Formation enthalpy at 0 K   -1.0 eV per formula unit

***

[4]
# Na2CaOs (PBE, relaxed)
data_Na2CaOs
_cell_length_a 4.166
_cell_length_b 4.166
_cell_length_c 22.774
_cell_angle_alpha 90.00
_cell_angle_beta 90.00
_cell_angle_gamma 90.00
_space_group_name_H-M_alt 'I -4 2 d'
_space_group_IT_number 122
_space_group_name_Hall 'I -4 2bw'
loop_
_atom_site_label
_atom_site_type_symbol
_atom_site_fract_x
_atom_site_fract_y
_atom_site_fract_z
Na1 Na 0.221 0.250 0.125
Ca1 Ca 0.000 0.000 0.500
Os1 Os 0.000 0.000 0.000
# Formation enthalpy at 0 K   3.6 eV per formula unit

***

[5]
# In4IrPd2 (PBE, relaxed)
data_In4IrPd2
_cell_length_a 6.489
_cell_length_b 6.489
_cell_length_c 6.551
_cell_angle_alpha 90.00
_cell_angle_beta 90.00
_cell_angle_gamma 90.00
_space_group_name_H-M_alt 'I 4/m m m'
_space_group_IT_number 139
_space_group_name_Hall '-I 4 2'
loop_
_atom_site_label
_atom_site_type_symbol
_atom_site_fract_x
_atom_site_fract_y
_atom_site_fract_z
In1 In 0.250 0.250 0.250
Ir1 Ir 0.000 0.000 0.000
Pd1 Pd 0.000 0.500 0.000
# Formation enthalpy at 0 K   -2.0 eV per formula unit

***

[6]
VASP calculation (PBE) on a relaxed structure of OsSeSN2.

Geometry as CIF:
```
data_OsSeSN2
_cell_length_a 3.420
_cell_length_b 3.420
_cell_length_c 8.430
_cell_angle_alpha 90.00
_cell_angle_beta 90.00
_cell_angle_gamma 90.00
_space_group_name_H-M_alt 'P 4/m m m'
_space_group_IT_number 123
_space_group_name_Hall '-P 4 2'
loop_
_atom_site_label
_atom_site_type_symbol
_atom_site_fract_x
_atom_site_fract_y
_atom_site_fract_z
Os1 Os 0.000 0.000 0.000
Se1 Se 0.500 0.500 0.000
S1 S 0.500 0.500 0.500
N1 N 0.000 0.500 0.500
```

***

[7]
VASP calculation (PBE) on a relaxed structure of Li2MnZnBr6.

Geometry as CIF:
```
data_Li2MnZnBr6
_cell_length_a 6.7664
_cell_length_b 6.7664
_cell_length_c 18.4478
_cell_angle_alpha 90.00
_cell_angle_beta 90.00
_cell_angle_gamma 120.00
_space_group_name_H-M_alt 'R 3'
_space_group_IT_number 146
_space_group_name_Hall 'R 3'
loop_
_atom_site_label
_atom_site_type_symbol
_atom_site_fract_x
_atom_site_fract_y
_atom_site_fract_z
Li1 Li 0.0000 0.0000 0.0000
Li2 Li 0.0000 0.0000 0.4969
Mn1 Mn 0.0000 0.0000 0.6897
Zn1 Zn 0.0000 0.0000 0.1926
Br1 Br 0.0240 0.3454 0.2602
Br2 Br 0.0265 0.6769 0.7615
```

***

[8]
# Mg4Pd (PBE, relaxed)
data_Mg4Pd
_cell_length_a 3.738
_cell_length_b 3.738
_cell_length_c 15.560
_cell_angle_alpha 90.00
_cell_angle_beta 90.00
_cell_angle_gamma 90.00
_space_group_name_H-M_alt 'I 4/m m m'
_space_group_IT_number 139
_space_group_name_Hall '-I 4 2'
loop_
_atom_site_label
_atom_site_type_symbol
_atom_site_fract_x
_atom_site_fract_y
_atom_site_fract_z
Mg1 Mg 0.000 0.000 0.088
Mg2 Mg 0.000 0.500 0.250
Pd1 Pd 0.000 0.000 0.500
# Formation enthalpy at 0 K   0.5 eV per formula unit

***

Number 1: total moment 0.000 μB/f.u., total DFT energy (no corrections) -4.902 eV per atom. Number 2: total moment 0.000 μB/f.u., total DFT energy (no corrections) -4.590 eV per atom. Number 3: total moment 0.000 μB/f.u., total DFT energy (no corrections) -7.130 eV per atom. Number 4: total moment 0.595 μB/f.u., total DFT energy (no corrections) -3.061 eV per atom. Number 5: total moment 0.000 μB/f.u., total DFT energy (no corrections) -4.596 eV per atom. Number 6: total moment 0.760 μB/f.u., total DFT energy (no corrections) -5.192 eV per atom. Number 7: total moment 5.000 μB/f.u., total DFT energy (no corrections) -3.470 eV per atom. Number 8: total moment 0.000 μB/f.u., total DFT energy (no corrections) -2.220 eV per atom.